Entry from the Alexandria database: KI2BrO at its PBEsol-relaxed geometry (meta-GGA SCAN).

Properties
E above lowest polymorph in meV per atom: 525.9
Theoretical density in kg/m3: 3293
DFT total energy in eV per atom: -21.21
E_form (uncorrected) in eV/atom: 0.2928

abc: 4.7488 6.4258 6.4258
angles: 90.00 90.00 90.00
Site moments in Bohr magnetons follow the coordinates.
Fractional coordinates of all 5 atoms:
1 I 0.0000 0.0000 0.5000  0.49
2 I 0.0000 0.5000 0.0000  0.49
3 K 0.0000 0.0000 0.0000  -0.01
4 O 0.5000 0.0000 0.0000  1.31
5 Br 0.5000 0.5000 0.5000  0.58